Cs3Na2UTe6: relaxed, PBE-GGA.

Properties
Formation energy from raw total energies = -798.2 meV per atom
Theoretical density = 4.71 g/cm3
Total DFT energy (no corrections) = -44.92 eV per formula unit
Spin magnetization = 0.55 μB/cell

Cell: 8.2313 8.2313 9.0932 Å, 98.46 98.46 119.96°
Last column: nearest neighbours and their distance in Å.
Element x y z (fractional)
Cs1 0.0000 0.0000 0.0000  6 Te 3.78-4.04
Cs2 0.3206 0.6794 0.0000  6 Te 3.78-3.97
Cs3 0.6794 0.3206 0.0000  6 Te 3.78-3.97
Na1 0.1637 0.8363 0.5000  6 Te 3.30-3.37
Na2 0.8363 0.1637 0.5000  6 Te 3.30-3.37
U1 0.5000 0.5000 0.5000  6 Te 2.95
Te1 0.1392 0.4368 0.3135  1 U 2.95
Te2 0.2726 0.2726 0.6967  1 U 2.95
Te3 0.4368 0.1392 0.3135  1 U 2.95
Te4 0.5632 0.8608 0.6865  1 U 2.95
Te5 0.7274 0.7274 0.3033  1 U 2.95
Te6 0.8608 0.5632 0.6865  1 U 2.95